[1]
# PBE VNiIr, relaxed
# density of states at the Fermi level	1.44	states/eV/atom
# density	11.44	g cm⁻³
# formation enthalpy at 0 K	0.466	eV/atom
# ΔE to the lowest computed polymorph	2.47	eV/f.u.
# volume	88	Å³ per cell
data_VNiIr
_chemical_formula_sum 'V2 Ni2 Ir2'
_space_group_name_H-M_alt 'I 4 m m'
_space_group_IT_number 107
_space_group_name_Hall 'I 4 -2'
_cell_length_a 2.600
_cell_length_b 2.600
_cell_length_c 12.963
_cell_angle_alpha 90.00
_cell_angle_beta 90.00
_cell_angle_gamma 90.00
loop_
_atom_site_label
_atom_site_fract_x
_atom_site_fract_y
_atom_site_fract_z
V1 0.000 0.000 0.000
Ni1 0.000 0.000 0.824
Ir1 0.000 0.000 0.181

[2]
# PBE Sm8Er5Tm, relaxed
# density of states at the Fermi level	1.48	states/eV/atom
# density	7.80	g cm⁻³
# formation enthalpy at 0 K	0.259	eV/atom
# volume	941	Å³ per cell
data_Sm8Er5Tm
_chemical_formula_sum 'Sm16 Er10 Tm2'
_space_group_name_H-M_alt 'I -4'
_space_group_IT_number 82
_cell_length_a 9.618
_cell_length_b 9.618
_cell_length_c 10.167
_cell_angle_alpha 90.00
_cell_angle_beta 90.00
_cell_angle_gamma 90.00
loop_
_space_group_symop_operation_xyz
'x,y,z'
'y,-x,-z'
'-x,-y,z'
'-y,x,-z'
'x+1/2,y+1/2,z+1/2'
'y+1/2,-x+1/2,-z+1/2'
'-x+1/2,-y+1/2,z+1/2'
'-y+1/2,x+1/2,-z+1/2'
loop_
_atom_site_label
_atom_site_fract_x
_atom_site_fract_y
_atom_site_fract_z
Sm1 0.069 0.326 0.406
Sm2 0.089 0.177 0.747
Er1 0.000 0.000 0.500
Er2 0.109 0.205 0.074
Tm1 0.000 0.500 0.750

[3]
# PBE IrSe2Br, relaxed
# density of states at the Fermi level	0.72	states/eV/atom
# density	6.92	g cm⁻³
# uncorrected formation energy	0.185	eV per atom
# ΔE to the lowest computed polymorph	1.65	eV/f.u.
# volume	103	Å³ per cell
data_IrSe2Br
_chemical_formula_sum 'Ir1 Se2 Br1'
_space_group_name_H-M_alt 'P m m 2'
_space_group_IT_number 25
_cell_length_a 2.821
_cell_length_b 3.591
_cell_length_c 10.184
_cell_angle_alpha 90.00
_cell_angle_beta 90.00
_cell_angle_gamma 90.00
loop_
_space_group_symop_operation_xyz
'x,y,z'
'-x,-y,z'
'-x,y,z'
'x,-y,z'
loop_
_atom_site_label
_atom_site_fract_x
_atom_site_fract_y
_atom_site_fract_z
Ir1 0.000 0.000 0.000
Se1 0.000 0.000 0.234
Se2 0.500 0.500 0.892
Br1 0.500 0.500 0.556